Record 1
A relaxed TbErIn2 crystal. Source: Alexandria, functional GGA-PBE.

For the energy of formation, the calculation gives -0.4596 eV/atom. The calculation puts the total DFT energy (no corrections) at -4.13 eV per atom. As for the space-group type: P4/mmm, No. 123.

Unit cell a=3.749 b=3.749 c=7.527 alpha=90.00 beta=90.00 gamma=90.00
Fractional positions:
Tb (0.000, 0.000, 0.000)
Er (0.000, 0.000, 0.500)
In (0.500, 0.500, 0.254)
In (0.500, 0.500, 0.746)

=====

Record 2
A relaxed Tb7Er2In2 crystal. Source: Alexandria, functional GGA-PBE.

For the energy of formation, the calculation gives 0.1488 eV/atom. The calculation puts the total DFT energy (no corrections) at -4.13 eV per atom. As for the space-group type: Cmmm, No. 65.

Unit cell a=6.722 b=6.722 c=9.166 alpha=90.00 beta=90.00 gamma=120.26
Fractional positions:
Tb (0.000, 0.000, 0.000)
Tb (0.000, 0.500, 0.299)
Tb (0.000, 0.500, 0.701)
Tb (0.500, 0.000, 0.299)
Tb (0.500, 0.000, 0.701)
Tb (0.500, 0.500, 0.185)
Tb (0.500, 0.500, 0.815)
Er (0.243, 0.243, 0.500)
Er (0.757, 0.757, 0.500)
In (0.271, 0.729, 0.000)
In (0.729, 0.271, 0.000)

=====

Record 3
A relaxed TbEr2In3 crystal. Source: Alexandria, functional GGA-PBE.

For the energy of formation, the calculation gives -0.4550 eV/atom. The calculation puts the total DFT energy (no corrections) at -4.12 eV per atom. As for the space-group type: P4/mmm, No. 123.

Unit cell a=3.545 b=3.545 c=12.493 alpha=90.00 beta=90.00 gamma=90.00
Fractional positions:
Tb (0.000, 0.000, 0.000)
Er (0.000, 0.000, 0.335)
Er (0.000, 0.000, 0.665)
In (0.500, 0.500, 0.169)
In (0.500, 0.500, 0.500)
In (0.500, 0.500, 0.831)

=====

Record 4
A relaxed TbEr3In3 crystal. Source: Alexandria, functional GGA-PBE.

For the energy of formation, the calculation gives -0.3381 eV/atom. The calculation puts the total DFT energy (no corrections) at -4.13 eV per atom. For the distance to the lowest polymorph of the same formula, the calculation gives 0 meV/atom. As for the space-group type: P6_3/m, No. 176.

Unit cell a=9.282 b=9.282 c=5.142 alpha=90.00 beta=90.00 gamma=120.00
Fractional positions:
Tb (0.333, 0.667, 0.250)
Tb (0.667, 0.333, 0.750)
Er (0.003, 0.232, 0.250)
Er (0.229, 0.997, 0.250)
Er (0.232, 0.229, 0.750)
Er (0.768, 0.771, 0.250)
Er (0.771, 0.003, 0.750)
Er (0.997, 0.768, 0.750)
In (0.072, 0.454, 0.750)
In (0.382, 0.928, 0.750)
In (0.454, 0.382, 0.250)
In (0.546, 0.618, 0.750)
In (0.618, 0.072, 0.250)
In (0.928, 0.546, 0.250)

=====

Record 5
A relaxed TbErIn crystal. Source: Alexandria, functional GGA-PBE.

For the energy of formation, the calculation gives -0.2721 eV/atom. The calculation puts the total DFT energy (no corrections) at -4.25 eV per atom. For the distance to the lowest polymorph of the same formula, the calculation gives 41 meV/atom. As for the space-group type: P4/nmm, No. 129.

Unit cell a=4.617 b=4.617 c=8.297 alpha=90.00 beta=90.00 gamma=90.00
Fractional positions:
Tb (0.250, 0.250, 0.149)
Tb (0.750, 0.750, 0.851)
Er (0.250, 0.750, 0.500)
Er (0.750, 0.250, 0.500)
In (0.250, 0.250, 0.769)
In (0.750, 0.750, 0.231)

=====

Record 6
A relaxed Tb12Er7In crystal. Source: Alexandria, functional GGA-PBE.

For the energy of formation, the calculation gives 0.1670 eV/atom. The calculation puts the total DFT energy (no corrections) at -4.35 eV per atom. As for the space-group type: R-3, No. 148.

Unit cell a=8.605 b=8.605 c=8.605 alpha=88.65 beta=88.65 gamma=88.65
Fractional positions:
Tb (0.001, 0.357, 0.884)
Tb (0.116, 0.999, 0.643)
Tb (0.241, 0.632, 0.758)
Tb (0.242, 0.759, 0.368)
Tb (0.357, 0.884, 0.001)
Tb (0.368, 0.242, 0.759)
Tb (0.632, 0.758, 0.241)
Tb (0.643, 0.116, 0.999)
Tb (0.758, 0.241, 0.632)
Tb (0.759, 0.368, 0.242)
Tb (0.884, 0.001, 0.357)
Tb (0.999, 0.643, 0.116)
Er (0.000, 0.000, 0.000)
Er (0.116, 0.354, 0.439)
Er (0.354, 0.439, 0.116)
Er (0.439, 0.116, 0.354)
Er (0.561, 0.884, 0.646)
Er (0.646, 0.561, 0.884)
Er (0.884, 0.646, 0.561)
In (0.500, 0.500, 0.500)

=====

Record 7
A relaxed Tb2ErIn crystal. Source: Alexandria, functional GGA-PBE.

For the energy of formation, the calculation gives -0.2234 eV/atom. The calculation puts the total DFT energy (no corrections) at -4.36 eV per atom. For the distance to the lowest polymorph of the same formula, the calculation gives 43 meV/atom. As for the space-group type: P4/mmm, No. 123.

Unit cell a=3.567 b=3.567 c=9.270 alpha=90.00 beta=90.00 gamma=90.00
Fractional positions:
Tb (0.000, 0.000, 0.229)
Tb (0.000, 0.000, 0.771)
Er (0.500, 0.500, 0.500)
In (0.500, 0.500, 0.000)

=====

Record 8
A relaxed TbEr3In4 crystal. Source: Alexandria, functional GGA-PBE.

For the energy of formation, the calculation gives -0.2956 eV/atom. The calculation puts the total DFT energy (no corrections) at -3.95 eV per atom. For the distance to the lowest polymorph of the same formula, the calculation gives 153 meV/atom. As for the space-group type: Immm, No. 71.

Unit cell a=10.125 b=10.125 c=10.125 alpha=160.50 beta=139.33 gamma=45.49
Fractional positions:
Tb (0.000, 0.000, 0.000)
Er (0.221, 0.721, 0.500)
Er (0.500, 0.500, 0.000)
Er (0.779, 0.279, 0.500)
In (0.159, 0.873, 0.287)
In (0.414, 0.127, 0.287)
In (0.586, 0.873, 0.713)
In (0.841, 0.127, 0.713)

=====

Question: Which formula does entry 8 have?
Answer: TbEr3In4